1.
Below is crystalline InAs2PbO8 at its relaxed geometry, with properties calculated at the PBE level.

Results
Magnetic moment: 0.000 μB per atom
Energy: -5.819 eV/atom
Formation energy without anion corrections: -1.202 eV/atom
V: 14.67 A^3/atom

POSCAR file:
```
InAs2PbO8
1.0
-2.186 -8.075 2.266
4.306 -0.403 2.718
-4.148 5.322 14.963
In O As Pb
4 32 8 4
direct
0.551 0.698 0.141 In
0.449 0.302 0.859 In
0.051 0.302 0.359 In
0.949 0.698 0.641 In
0.755 0.861 0.199 O
0.915 0.239 0.255 O
0.111 0.833 0.985 O
0.174 0.075 0.137 O
0.674 0.925 0.363 O
0.326 0.075 0.637 O
0.389 0.833 0.485 O
0.889 0.167 0.015 O
0.911 0.317 0.736 O
0.589 0.317 0.236 O
0.236 0.433 0.432 O
0.826 0.925 0.863 O
0.655 0.427 0.912 O
0.561 0.110 0.066 O
0.411 0.683 0.764 O
0.415 0.761 0.245 O
0.061 0.890 0.434 O
0.585 0.239 0.755 O
0.085 0.761 0.745 O
0.745 0.861 0.699 O
0.764 0.567 0.568 O
0.155 0.573 0.588 O
0.255 0.139 0.301 O
0.245 0.139 0.801 O
0.089 0.683 0.264 O
0.939 0.110 0.566 O
0.736 0.567 0.068 O
0.345 0.573 0.088 O
0.439 0.890 0.934 O
0.611 0.167 0.515 O
0.264 0.433 0.932 O
0.845 0.427 0.412 O
0.739 0.083 0.264 As
0.296 0.688 0.985 As
0.796 0.312 0.515 As
0.204 0.688 0.485 As
0.239 0.917 0.236 As
0.704 0.312 0.015 As
0.261 0.917 0.736 As
0.761 0.083 0.764 As
0.524 0.790 0.619 Pb
0.976 0.790 0.119 Pb
0.476 0.210 0.381 Pb
0.024 0.210 0.881 Pb
```

2.
Below is crystalline LaNd7Dy3 at its relaxed geometry, with properties calculated at the PBE level.

Results
Magnetic moment: 0.000 μB per atom
Formation enthalpy at 0 K: 0.210 eV/atom
Energy: -4.527 eV/atom
V: 35.68 A^3/atom

POSCAR file:
```
LaNd7Dy3
1.0
6.473 0.051 0.474
0.470 7.747 1.109
0.038 0.046 7.840
Dy Nd La
3 7 1
direct
0.000 0.169 0.831 Dy
0.500 0.000 0.000 Dy
0.000 0.831 0.169 Dy
0.740 0.577 0.928 Nd
0.260 0.423 0.072 Nd
0.000 0.500 0.500 Nd
0.211 0.766 0.766 Nd
0.789 0.234 0.234 Nd
0.260 0.072 0.423 Nd
0.740 0.928 0.577 Nd
0.500 0.500 0.500 La
```

3.
Below is crystalline Pr2Sm8Y at its relaxed geometry, with properties calculated at the PBE level.

Results
Magnetic moment: 0.000 μB per atom
Formation enthalpy at 0 K: 0.015 eV/atom
Energy: -4.873 eV/atom
V: 34.11 A^3/atom

POSCAR file:
```
Pr2Sm8Y
1.0
4.977 0.000 -1.325
-0.535 7.877 -2.008
-0.102 -0.086 9.621
Sm Pr Y
8 2 1
direct
0.955 0.272 0.910 Sm
0.590 0.453 0.180 Sm
0.681 0.909 0.363 Sm
0.135 0.179 0.271 Sm
0.865 0.821 0.729 Sm
0.319 0.091 0.637 Sm
0.410 0.547 0.820 Sm
0.045 0.728 0.090 Sm
0.773 0.363 0.546 Pr
0.227 0.637 0.454 Pr
0.500 0.000 0.000 Y
```

4.
Below is crystalline Sc2FeMo at its relaxed geometry, with properties calculated at the PBE level.

Results
Magnetic moment: 0.000 μB per atom
Formation enthalpy at 0 K: 0.533 eV/atom
Energy: -7.456 eV/atom
V: 17.60 A^3/atom

POSCAR file:
```
Sc2FeMo
1.0
-1.404 -2.124 -6.752
-3.241 -5.927 2.538
-4.680 -2.705 -2.032
Sc Mo Fe
4 2 2
direct
0.375 0.417 0.750 Sc
0.583 0.125 0.250 Sc
0.875 0.833 0.750 Sc
0.167 0.625 0.250 Sc
0.750 0.250 0.500 Mo
0.000 0.000 0.000 Mo
0.500 0.500 0.000 Fe
0.250 0.750 0.500 Fe
```

5.
Below is crystalline SrNiAs2 at its relaxed geometry, with properties calculated at the PBE level.

Results
Magnetic moment: 0.000 μB per atom
Formation enthalpy at 0 K: 0.061 eV/atom
Energy: -4.130 eV/atom
V: 20.69 A^3/atom

POSCAR file:
```
SrNiAs2
1.0
4.892 0.000 0.000
2.446 4.236 0.000
2.446 1.412 3.994
Ni As Sr
1 2 1
direct
0.500 0.500 0.500 Ni
0.000 0.000 0.000 As
0.250 0.250 0.250 As
0.750 0.750 0.750 Sr
```

6.
Below is crystalline MgPaGa at its relaxed geometry, with properties calculated at the PBE level.

Results
Magnetic moment: 0.195 μB per atom
Formation enthalpy at 0 K: -0.031 eV/atom
Energy: -4.737 eV/atom
V: 21.50 A^3/atom

POSCAR file:
```
MgPaGa
1.0
3.084 0.000 0.000
0.000 3.084 0.000
-1.542 -1.542 6.783
Pa Ga Mg
1 1 1
direct
0.607 0.607 0.213 Pa
0.945 0.945 0.890 Ga
0.299 0.299 0.597 Mg
```

7.
Below is crystalline AlCoPt2 at its relaxed geometry, with properties calculated at the PBE level.

Results
Magnetic moment: 0.479 μB per atom
Formation enthalpy at 0 K: -0.486 eV/atom
Energy: -6.218 eV/atom
V: 14.09 A^3/atom

POSCAR file:
```
AlCoPt2
1.0
-0.337 -4.186 -2.140
2.148 0.149 -4.193
1.407 1.241 4.324
Pt Co Al
2 1 1
direct
0.250 0.750 0.500 Pt
0.000 0.000 0.000 Pt
0.750 0.250 0.500 Co
0.500 0.500 0.000 Al
```

8.
Below is crystalline LaHgW at its relaxed geometry, with properties calculated at the PBE level.

Results
Magnetic moment: 1.012 μB per atom
Formation enthalpy at 0 K: 0.971 eV/atom
Energy: -5.090 eV/atom
V: 27.99 A^3/atom

POSCAR file:
```
LaHgW
1.0
4.915 0.000 0.000
2.457 4.257 0.000
2.457 1.419 4.013
Hg La W
1 1 1
direct
0.000 0.000 0.000 Hg
0.500 0.500 0.500 La
0.750 0.750 0.750 W
```

9.
Below is crystalline KPu2Bi3 at its relaxed geometry, with properties calculated at the PBE level.

Results
Magnetic moment: 1.959 μB per atom
Formation enthalpy at 0 K: -0.365 eV/atom
Energy: -7.266 eV/atom
V: 30.95 A^3/atom

POSCAR file:
```
KPu2Bi3
1.0
-0.865 -2.332 2.570
3.139 -1.656 -0.446
6.008 8.715 9.931
Bi Pu K
3 2 1
direct
0.000 0.000 0.687 Bi
0.000 0.000 0.313 Bi
0.000 0.000 0.000 Bi
0.500 0.500 0.156 Pu
0.500 0.500 0.844 Pu
0.500 0.500 0.500 K
```

10.
Below is crystalline Tm4Th3Sc2 at its relaxed geometry, with properties calculated at the PBE level.

Results
Magnetic moment: 0.000 μB per atom
Formation enthalpy at 0 K: 0.098 eV/atom
Energy: -5.770 eV/atom
V: 29.99 A^3/atom

POSCAR file:
```
Tm4Th3Sc2
1.0
3.485 0.000 0.000
-1.742 3.018 0.000
0.000 0.000 25.671
Th Sc Tm
3 2 4
direct
0.000 0.000 0.983 Th
0.000 0.000 0.319 Th
0.667 0.333 0.657 Th
0.667 0.333 0.087 Sc
0.667 0.333 0.874 Sc
0.667 0.333 0.209 Tm
0.667 0.333 0.434 Tm
0.000 0.000 0.771 Tm
0.000 0.000 0.543 Tm
```

11.
Below is crystalline In2BrF at its relaxed geometry, with properties calculated at the PBE level.

Results
Magnetic moment: 0.000 μB per atom
Energy: -3.311 eV/atom
Formation energy without anion corrections: -1.056 eV/atom
V: 35.17 A^3/atom

POSCAR file:
```
In2BrF
1.0
6.181 0.000 0.000
0.000 6.181 0.000
3.091 3.091 7.364
In Br F
4 2 2
direct
0.532 0.125 0.250 In
0.375 0.468 0.750 In
0.218 0.625 0.250 In
0.875 0.782 0.750 In
0.750 0.250 0.500 Br
0.000 0.000 0.000 Br
0.250 0.750 0.500 F
0.500 0.500 0.000 F
```

12.
Below is crystalline NaSc2IrO8 at its relaxed geometry, with properties calculated at the PBE level.

Results
Magnetic moment: 0.001 μB per atom
Energy: -6.941 eV/atom
Formation energy without anion corrections: -1.732 eV/atom
V: 11.86 A^3/atom

POSCAR file:
```
NaSc2IrO8
1.0
5.098 -0.008 -0.003
0.006 4.214 -0.004
0.004 0.007 6.622
Sc O Ir Na
2 8 1 1
direct
0.500 0.500 0.762 Sc
0.500 0.500 0.238 Sc
0.674 0.746 0.000 O
0.148 0.744 0.795 O
0.448 0.167 0.500 O
0.326 0.254 0.000 O
0.552 0.833 0.500 O
0.852 0.256 0.205 O
0.148 0.743 0.205 O
0.852 0.257 0.795 O
0.000 0.000 0.000 Ir
0.000 0.000 0.500 Na
```